(1)
Material: Rb2ZrI6Br
Method: DFT, PBE
State: relaxed

The space-group type is P1, No. 1. The total magnetic moment is 0.001 μB per cell.

a = 8.3728 Å, b = 8.5387 Å, c = 8.9768 Å
α = 68.07°, β = 62.90°, γ = 60.71°
Fractional positions:
Rb1 0.0000 0.0000 0.0000
Rb2 0.4896 0.4008 0.5794
Zr1 0.7868 0.6746 0.7459
I1 0.0065 0.4618 0.9706
I2 0.0426 0.8378 0.4789
I3 0.4715 0.5458 0.9744
I4 0.4935 0.8732 0.5793
I5 0.5977 0.9712 0.9259
I6 0.9593 0.3724 0.5791
Br1 0.5480 0.2088 0.2768

***

(2)
Material: Rb2ZrI6Br
Method: DFT, PBE
State: relaxed

The space-group type is I4/mmm, No. 139. The total magnetic moment is 0.000 μB per cell.

a = 8.8190 Å, b = 8.8190 Å, c = 8.8190 Å
α = 116.58°, β = 116.58°, γ = 96.04°
Fractional positions:
Rb1 0.2500 0.7500 0.5000
Rb2 0.7500 0.2500 0.5000
Zr1 0.0000 0.0000 0.0000
I1 0.2193 0.2193 0.4385
I2 0.2193 0.7807 0.0000
I3 0.2458 0.2458 0.0000
I4 0.7542 0.7542 0.0000
I5 0.7807 0.2193 0.0000
I6 0.7807 0.7807 0.5615
Br1 0.5000 0.5000 0.0000

***

If we sort the structures by their calculated energies, the order from most to least stable is (1), (2).

***

(1)
Material: ReIBr
Method: DFT, PBE
State: relaxed

The space-group type is P1, No. 1. The total magnetic moment is 0.000 μB per cell.

a = 3.6339 Å, b = 8.0087 Å, c = 8.0389 Å
α = 90.47°, β = 102.64°, γ = 90.42°
Fractional positions:
Re1 0.0000 0.0000 0.0000
Re2 0.4109 0.0603 0.8137
I1 0.1014 0.2571 0.2011
I2 0.5518 0.7544 0.1152
Br1 0.3037 0.8420 0.6000
Br2 0.3831 0.3497 0.7468

***

(2)
Material: ReIBr
Method: DFT, PBE
State: relaxed

The space-group type is P3_2, No. 145. The total magnetic moment is 2.857 μB per cell.

a = 7.4142 Å, b = 7.4142 Å, c = 6.2745 Å
α = 90.00°, β = 90.00°, γ = 120.00°
Fractional positions:
Re1 0.0224 0.1285 0.0000
Re2 0.1061 0.9776 0.3333
Re3 0.8715 0.8939 0.6667
I1 0.0764 0.7613 0.9706
I2 0.2387 0.3150 0.6373
I3 0.6850 0.9236 0.3040
Br1 0.3983 0.2928 0.1462
Br2 0.7072 0.1054 0.8129
Br3 0.8946 0.6017 0.4795

***

If we sort the structures by their calculated energies, the order from most to least stable is (1), (2).

***

(1)
Material: ReSbI2Br
Method: DFT, PBE
State: relaxed

The space-group type is P4/mmm, No. 123. The total magnetic moment is 0.001 μB per cell.

a = 5.4412 Å, b = 5.4412 Å, c = 5.2313 Å
α = 90.00°, β = 90.00°, γ = 90.00°
Fractional positions:
Re1 0.0000 0.0000 0.0000
Sb1 0.0000 0.0000 0.5000
I1 0.0000 0.5000 0.0000
I2 0.5000 0.0000 0.0000
Br1 0.5000 0.5000 0.5000

***

(2)
Material: ReSbI2Br
Method: DFT, PBE
State: relaxed

The space-group type is P4/mmm, No. 123. The total magnetic moment is 4.652 μB per cell.

a = 5.7259 Å, b = 5.7259 Å, c = 5.8581 Å
α = 90.00°, β = 90.00°, γ = 90.00°
Fractional positions:
Re1 0.0000 0.0000 0.0000
Sb1 0.5000 0.5000 0.0000
I1 0.0000 0.5000 0.5000
I2 0.5000 0.0000 0.5000
Br1 0.5000 0.5000 0.5000

***

If we sort the structures by their calculated energies, the order from most to least stable is (1), (2).

***

(1)
Material: Rh3IBr
Method: DFT, PBE
State: relaxed

The space-group type is Pm-3m, No. 221. The total magnetic moment is 0.000 μB per cell.

a = 4.7202 Å, b = 4.7202 Å, c = 4.7202 Å
α = 90.00°, β = 90.00°, γ = 90.00°
Fractional positions:
Rh1 0.0000 0.0000 0.5000
Rh2 0.0000 0.5000 0.0000
Rh3 0.5000 0.0000 0.0000
I1 0.5000 0.5000 0.5000
Br1 0.0000 0.0000 0.0000

***

(2)
Material: Rh3IBr
Method: DFT, PBE
State: relaxed

The space-group type is Pm-3m, No. 221. The total magnetic moment is 0.178 μB per cell.

a = 4.9300 Å, b = 4.9300 Å, c = 4.9300 Å
α = 90.00°, β = 90.00°, γ = 90.00°
Fractional positions:
Rh1 0.0000 0.0000 0.5000
Rh2 0.0000 0.5000 0.0000
Rh3 0.5000 0.0000 0.0000
I1 0.0000 0.0000 0.0000
Br1 0.5000 0.5000 0.5000

***

If we sort the structures by their calculated energies, the order from most to least stable is (1), (2).

***

(1)
Material: Rh2IBr
Method: DFT, PBE
State: relaxed

The space-group type is I-42d, No. 122. The total magnetic moment is 0.000 μB per cell.

a = 6.8112 Å, b = 6.8112 Å, c = 6.8112 Å
α = 125.62°, β = 125.62°, γ = 80.51°
Fractional positions:
Rh1 0.1241 0.6250 0.9991
Rh2 0.3750 0.3741 0.4991
Rh3 0.6259 0.1250 0.0009
Rh4 0.8750 0.8759 0.5009
I1 0.0000 0.0000 0.0000
I2 0.7500 0.2500 0.5000
Br1 0.2500 0.7500 0.5000
Br2 0.5000 0.5000 0.0000

***

(2)
Material: Rh2IBr
Method: DFT, PBE
State: relaxed

The space-group type is Fm-3m, No. 225. The total magnetic moment is 0.000 μB per cell.

a = 4.7270 Å, b = 4.7270 Å, c = 4.7270 Å
α = 60.00°, β = 60.00°, γ = 60.00°
Fractional positions:
Rh1 0.2500 0.2500 0.2500
Rh2 0.7500 0.7500 0.7500
I1 0.0000 0.0000 0.0000
Br1 0.5000 0.5000 0.5000

***

If we sort the structures by their calculated energies, the order from most to least stable is (1), (2).

***

(1)
Material: Tc2RhIBr
Method: DFT, PBE
State: relaxed

The space-group type is P4/mmm, No. 123. The total magnetic moment is 5.626 μB per cell.

a = 5.0930 Å, b = 5.0930 Å, c = 4.8722 Å
α = 90.00°, β = 90.00°, γ = 90.00°
Fractional positions:
Tc1 0.0000 0.5000 0.0000
Tc2 0.5000 0.0000 0.0000
Rh1 0.0000 0.0000 0.5000
I1 0.0000 0.0000 0.0000
Br1 0.5000 0.5000 0.5000

***

(2)
Material: Tc2RhIBr
Method: DFT, PBE
State: relaxed

The space-group type is P4/mmm, No. 123. The total magnetic moment is 9.015 μB per cell.

a = 5.2478 Å, b = 5.2478 Å, c = 5.0378 Å
α = 90.00°, β = 90.00°, γ = 90.00°
Fractional positions:
Tc1 0.0000 0.5000 0.0000
Tc2 0.5000 0.0000 0.0000
Rh1 0.0000 0.0000 0.0000
I1 0.0000 0.0000 0.5000
Br1 0.5000 0.5000 0.5000

***

If we sort the structures by their calculated energies, the order from most to least stable is (2), (1).

***

(1)
Material: Ru3IBr
Method: DFT, PBE
State: relaxed

The space-group type is Pm-3m, No. 221. The total magnetic moment is 4.588 μB per cell.

a = 4.9489 Å, b = 4.9489 Å, c = 4.9489 Å
α = 90.00°, β = 90.00°, γ = 90.00°
Fractional positions:
Ru1 0.0000 0.0000 0.5000
Ru2 0.0000 0.5000 0.0000
Ru3 0.5000 0.0000 0.0000
I1 0.0000 0.0000 0.0000
Br1 0.5000 0.5000 0.5000

***

(2)
Material: Ru3IBr
Method: DFT, PBE
State: relaxed

The space-group type is Pm-3m, No. 221. The total magnetic moment is 3.611 μB per cell.

a = 4.7103 Å, b = 4.7103 Å, c = 4.7103 Å
α = 90.00°, β = 90.00°, γ = 90.00°
Fractional positions:
Ru1 0.0000 0.0000 0.5000
Ru2 0.0000 0.5000 0.0000
Ru3 0.5000 0.0000 0.0000
I1 0.5000 0.5000 0.5000
Br1 0.0000 0.0000 0.0000

***

If we sort the structures by their calculated energies, the order from most to least stable is (2), (1).